Computed, not measured: crystalline NbVIO2 at its relaxed geometry at the PBE with a Hubbard U level of DFT.

```
NbVIO2
1.0
3.948 0.000 0.000
0.000 3.948 0.000
0.000 0.000 5.599
Nb V I O
1 1 1 2
Cartesian
0.000 0.000 0.000 Nb
1.974 1.974 2.799 V
1.974 1.974 0.000 I
0.000 1.974 2.799 O
1.974 0.000 2.799 O
```

Results
size of the total moment	3.369	Bohr magnetons per cell
DFT total energy	-5.88	eV per atom
offset from the most stable computed form	525	meV/atom